This record from Alexandria via LeMat-Bulk describes an optimized crystal structure of TlTcBr3. The functional is PBE.

Unit cell a=5.0723 b=6.6371 c=12.1122 alpha=101.81 beta=77.95 gamma=90.08
With the nearest neighbours (Å) after each atom.
Fractional positions:
Br  0.0551  0.5551  0.5564  2 Tc 2.53
Br  0.6899  0.7012  0.2876  4 Tl 3.17-3.33
Br  0.9007  0.2913  0.8653  2 Tc 2.53
Br  0.5323  0.1153  0.6008  2 Tc 2.52
Br  0.2665  0.1440  0.1337  4 Tl 3.17-3.33
Br  0.4236  0.7311  0.8209  2 Tc 2.52
Tc  0.7281  0.4232  0.7109  4 Br 2.52-2.53, 2 Tc 2.53-2.54
Tc  0.2278  0.4232  0.7108  4 Br 2.52-2.53, 2 Tc 2.53-2.54
Tl  0.2716  0.6392  0.1232  4 Br 3.17-3.33
Tl  0.6846  0.2059  0.2982  4 Br 3.17-3.33

Results
Formation energy from raw total energies   -6.4 kcal/mol of atoms
ΔE to the lowest computed polymorph   0 meV per atom
E   -19.13 eV per formula unit
Calculated density   4.62 g/cm3